Ba8Zn2Ga | PBE | optimized geometry

a b c (Å): 10.2571 15.0677 7.3902
angles (deg): 90.00 109.23 90.00
Space group Cm (No. 8)
Asymmetric unit:
Ba (0.0000, 0.0000, 0.0000)
Ba (0.0577, 0.3636, 0.8241)
Ba (0.1430, 0.1326, 0.5975)
Ba (0.2012, 0.5000, 0.3829)
Ba (0.3586, 0.2036, 0.2018)
Zn (0.3446, 0.3150, 0.6962)
Ga (0.3466, 0.0000, 0.9775)

Results
calculated volume	539.2	Å³/f.u.
E	-43.1	eV for the cell shown
formation energy from the elements	-53.5	meV/atom